# MnFe3Sb2P6O24 (PBE+U, optimized geometry)
data_MnFe3Sb2P6O24
_symmetry_space_group_name_H-M 'R 3'
_symmetry_Int_Tables_number 146
_symmetry_space_group_name_Hall 'R 3'
_cell_length_a 8.6970
_cell_length_b 8.6970
_cell_length_c 21.9400
_cell_angle_alpha 90.00
_cell_angle_beta 90.00
_cell_angle_gamma 120.00
loop_
_atom_site_label
_atom_site_fract_x
_atom_site_fract_y
_atom_site_fract_z
Mn1 0.0000 0.0000 0.0000
Fe1 0.0000 0.0000 0.2012
Fe2 0.0000 0.0000 0.5000
Fe3 0.0000 0.0000 0.7021
Sb1 0.0000 0.0000 0.3456
Sb2 0.0000 0.0000 0.8467
P1 0.9999 0.2928 0.1031
P2 0.0440 0.6688 0.2699
O1 0.0100 0.2075 0.0437
O2 0.0195 0.8384 0.2719
O3 0.0259 0.1841 0.7716
O4 0.1412 0.6722 0.2118
O5 0.1419 0.6780 0.3288
O6 0.1426 0.4662 0.8278
O7 0.1602 0.4855 0.1033
O8 0.1654 0.6878 0.6003
# * raw total energy: -7.0093 eV/atom
# * magnetic moment: 19.00 μB/f.u.